Record 1
The following is a PBE-GGA calculation of an optimized crystal structure of MgPaPdPt, from Alexandria.

Output
Its space group is F-43m. The calculation puts the formation energy at -0.735 eV/atom. The value obtained for the total magnetization is 0.00 Bohr magnetons per cell. Its total energy is -6.316 eV/atom.

a b c (Å): 4.808 4.808 4.808
angles (deg): 60.00 60.00 60.00
Fractional positions:
1 Pd 0.250 0.250 0.250
2 Mg 0.500 0.500 0.500
3 Pt 0.750 0.750 0.750
4 Pa 0.000 0.000 0.000

***

Record 2
The following is a PBE-GGA calculation of an optimized crystal structure of MgPaPdRh, from Alexandria.

Output
Its space group is F-43m. The calculation puts the formation energy at -0.569 eV/atom. The value obtained for the total magnetization is 0.00 Bohr magnetons per cell. Its total energy is -6.478 eV/atom.

a b c (Å): 4.765 4.765 4.765
angles (deg): 60.00 60.00 60.00
Fractional positions:
1 Pa 0.750 0.750 0.750
2 Rh 0.500 0.500 0.500
3 Pd 0.000 0.000 0.000
4 Mg 0.250 0.250 0.250

***

Record 3
The following is a PBE-GGA calculation of an optimized crystal structure of MgPaPdRu, from Alexandria.

Output
Its space group is F-43m. The calculation puts the formation energy at -0.404 eV/atom. The value obtained for the total magnetization is 0.00 Bohr magnetons per cell. Its total energy is -6.794 eV/atom.

a b c (Å): 4.739 4.739 4.739
angles (deg): 60.00 60.00 60.00
Fractional positions:
1 Pa 0.500 0.500 0.500
2 Mg 0.000 0.000 0.000
3 Ru 0.250 0.250 0.250
4 Pd 0.750 0.750 0.750

***

Record 4
The following is a PBE-GGA calculation of an optimized crystal structure of MgPaTcPd, from Alexandria.

Output
Its space group is F-43m. The calculation puts the formation energy at -0.275 eV/atom. The value obtained for the total magnetization is 0.00 Bohr magnetons per cell. Its total energy is -6.937 eV/atom.

a b c (Å): 4.731 4.731 4.731
angles (deg): 60.00 60.00 60.00
Fractional positions:
1 Mg 0.750 0.750 0.750
2 Tc 0.500 0.500 0.500
3 Pd 0.000 0.000 0.000
4 Pa 0.250 0.250 0.250

***

Record 5
The following is a PBE-GGA calculation of an optimized crystal structure of MgPaZnPd, from Alexandria.

Output
Its space group is F-43m. The calculation puts the formation energy at -0.280 eV/atom. The value obtained for the total magnetization is 0.00 Bohr magnetons per cell. Its total energy is -4.670 eV/atom.

a b c (Å): 4.821 4.821 4.821
angles (deg): 60.00 60.00 60.00
Fractional positions:
1 Zn 0.000 0.000 0.000
2 Pa 0.750 0.750 0.750
3 Mg 0.250 0.250 0.250
4 Pd 0.500 0.500 0.500

***

Record 6
The following is a PBE-GGA calculation of an optimized crystal structure of MgPaZn2Pd2, from Alexandria.

Output
Its space group is P-3m1. The calculation puts the formation energy at -0.401 eV/atom. The value obtained for the total magnetization is 0.00 Bohr magnetons per cell. Its total energy is -4.405 eV/atom.

a b c (Å): 4.419 4.419 6.517
angles (deg): 90.00 90.00 120.00
Fractional positions:
1 Pa 0.000 0.000 0.000
2 Pd 0.667 0.333 0.743
3 Pd 0.333 0.667 0.257
4 Mg 0.000 0.000 0.500
5 Zn 0.333 0.667 0.697
6 Zn 0.667 0.333 0.303

***

Record 7
The following is a PBE-GGA calculation of an optimized crystal structure of Pm2MgPa, from Alexandria.

Output
Its space group is P4/mmm. The calculation puts the formation energy at 0.187 eV/atom. The excess energy over the best structure of this formula in the dataset comes out at 106 meV per atom. The value obtained for the total magnetization is 0.20 Bohr magnetons per cell. Its total energy is -4.961 eV/atom.

a b c (Å): 3.458 5.745 5.745
angles (deg): 90.00 90.00 90.00
Fractional positions:
1 Pm 0.000 0.500 0.000
2 Pm 0.000 0.000 0.500
3 Pa 0.500 0.500 0.500
4 Mg 0.500 0.000 0.000

***

Record 8
The following is a PBE-GGA calculation of an optimized crystal structure of Pm2MgPa, from Alexandria.

Output
Its space group is R-3m. The calculation puts the formation energy at 0.308 eV/atom. The excess energy over the best structure of this formula in the dataset comes out at 227 meV per atom. The value obtained for the total magnetization is 0.00 Bohr magnetons per cell. Its total energy is -4.840 eV/atom.

a b c (Å): 3.273 3.273 12.538
angles (deg): 82.50 82.50 60.00
Fractional positions:
1 Pa 0.000 0.000 0.000
2 Pm 0.913 0.913 0.262
3 Pm 0.087 0.087 0.738
4 Mg 0.500 0.500 0.500

***

> Among the records above, which one has the highest total magnetization?

number 7

***

> What is the formula in the fifth record?

MgPaZnPd

***

Repeat the fourth record exactly.
The following is a PBE-GGA calculation of an optimized crystal structure of MgPaTcPd, from Alexandria.

Output
Its space group is F-43m. The calculation puts the formation energy at -0.275 eV/atom. The value obtained for the total magnetization is 0.00 Bohr magnetons per cell. Its total energy is -6.937 eV/atom.

a b c (Å): 4.731 4.731 4.731
angles (deg): 60.00 60.00 60.00
Fractional positions:
1 Mg 0.750 0.750 0.750
2 Tc 0.500 0.500 0.500
3 Pd 0.000 0.000 0.000
4 Pa 0.250 0.250 0.250

***

> Which formula does entry 4 have?

MgPaTcPd